Density functional theory data (PBE) for a geometry-optimized Rb3PmNb2O9 structure.

The uncorrected formation energy comes out at -2.23 eV/atom. Its size of the total moment is 2.1 μB/cell. Its density of states at the Fermi level is 0.336 states/eV/atom. Its crystal system is trigonal.

The structure belongs to space group P-3m1 (No. 164); the cell edges are 6.0786, 6.0786 and 7.4993 Å and the angles 90.00°, 90.00° and 120.00°. The inequivalent atoms are Rb at (0.0000, 0.0000, 0.0000), Rb at (0.3333, 0.6667, 0.6737), Pm at (0.0000, 0.0000, 0.5000), Nb at (0.3333, 0.6667, 0.1756), O at (0.0000, 0.5000, 0.0000) and O at (0.1782, 0.3564, 0.3108).


Density functional theory data (PBE) for a geometry-optimized RbPmNbO5 structure.

The uncorrected formation energy comes out at -2.44 eV/atom. Its size of the total moment is 4.0 μB/cell. Its density of states at the Fermi level is 0.046 states/eV/atom. Its crystal system is monoclinic.

The structure belongs to space group C2/c (No. 15); the cell edges are 7.6520, 10.5127 and 8.7977 Å and the angles 90.00°, 111.32° and 90.00°. The inequivalent atoms are Rb at (0.0000, 0.1669, 0.2500), Pm at (0.0000, 0.5000, 0.0000), Nb at (0.0000, 0.1897, 0.7500), O at (0.0000, 0.4290, 0.2500), O at (0.0842, 0.2932, 0.6173) and O at (0.1945, 0.0806, 0.8779).


Density functional theory data (PBE) for a geometry-optimized PmNbRhO6 structure.

The uncorrected formation energy comes out at -2.16 eV/atom. Its size of the total moment is 2.1 μB/cell. Its density of states at the Fermi level is 0.663 states/eV/atom. Its crystal system is trigonal.

The structure belongs to space group P-31c (No. 163); the cell edges are 5.2667, 5.2667 and 10.2161 Å and the angles 90.00°, 90.00° and 120.00°. The inequivalent atoms are Pm at (0.0000, 0.0000, 0.0000), Nb at (0.3333, 0.6667, 0.2500), Rh at (0.3333, 0.6667, 0.7500) and O at (0.0005, 0.3603, 0.1409).


Density functional theory data (PBE) for a geometry-optimized Sr2PmNbO6 structure.

The uncorrected formation energy comes out at -3.00 eV/atom. Its size of the total moment is 0.0 μB/cell. Its density of states at the Fermi level is 0.000 states/eV/atom. Its crystal system is monoclinic.

The structure belongs to space group P2_1/c (No. 14); the cell edges are 5.9009, 6.0536 and 10.2612 Å and the angles 90.00°, 124.80° and 90.00°. The inequivalent atoms are Sr at (0.2396, 0.0446, 0.2516), Pm at (0.5000, 0.0000, 0.0000), Nb at (0.0000, 0.0000, 0.5000), O at (0.1311, 0.2249, 0.9455), O at (0.2291, 0.6893, 0.9533) and O at (0.3251, 0.0347, 0.7307).


Density functional theory data (PBE) for a geometry-optimized TbPmNb2O8 structure.

The uncorrected formation energy comes out at -3.09 eV/atom. Its size of the total moment is 0.0 μB/cell. Its density of states at the Fermi level is 0.000 states/eV/atom. Its crystal system is tetragonal.

The structure belongs to space group I-4 (No. 82); the cell edges are 5.3107, 5.3107 and 11.3114 Å and the angles 90.00°, 90.00° and 90.00°. The inequivalent atoms are Tb at (0.0000, 0.0000, 0.0000), Pm at (0.0000, 0.5000, 0.7500), Nb at (0.0000, 0.0000, 0.5000), Nb at (0.0000, 0.5000, 0.2500), O at (0.1677, 0.7515, 0.1603) and O at (0.1747, 0.2506, 0.5871).


Density functional theory data (PBE) for a geometry-optimized PmTi2NbO8 structure.

The uncorrected formation energy comes out at -2.93 eV/atom. Its size of the total moment is 0.0 μB/cell. Its density of states at the Fermi level is 0.000 states/eV/atom. Its crystal system is tetragonal.

The structure belongs to space group I-4 (No. 82); the cell edges are 5.0414, 5.0414 and 11.0088 Å and the angles 90.00°, 90.00° and 90.00°. The inequivalent atoms are Pm at (0.0000, 0.0000, 0.0000), Ti at (0.0000, 0.0000, 0.5000), Ti at (0.0000, 0.5000, 0.2500), Nb at (0.0000, 0.5000, 0.7500), O at (0.1586, 0.2625, 0.5919) and O at (0.1952, 0.7729, 0.1779).


Density functional theory data (PBE) for a geometry-optimized PmNbTl2O6 structure.

The uncorrected formation energy comes out at -1.81 eV/atom. Its size of the total moment is 6.1 μB/cell. Its density of states at the Fermi level is 0.827 states/eV/atom. Its crystal system is cubic.

The structure belongs to space group Fm-3m (No. 225); the cell edges are 8.6849, 8.6849 and 8.6849 Å and the angles 90.00°, 90.00° and 90.00°. The inequivalent atoms are Pm at (0.0000, 0.0000, 0.0000), Nb at (0.0000, 0.0000, 0.5000), Tl at (0.2500, 0.2500, 0.2500) and O at (0.0000, 0.0000, 0.2683).


Density functional theory data (PBE) for a geometry-optimized PmNbTlO5 structure.

The uncorrected formation energy comes out at -2.26 eV/atom. Its size of the total moment is 3.7 μB/cell. Its density of states at the Fermi level is 0.209 states/eV/atom. Its crystal system is monoclinic.

The structure belongs to space group C2/c (No. 15); the cell edges are 7.7002, 9.9958 and 8.5213 Å and the angles 90.00°, 114.13° and 90.00°. The inequivalent atoms are Pm at (0.0000, 0.0000, 0.0000), Nb at (0.0000, 0.3200, 0.2500), Tl at (0.0000, 0.3169, 0.7500), O at (0.0000, 0.0960, 0.7500), O at (0.1118, 0.2080, 0.1382) and O at (0.1817, 0.4307, 0.4114).


Density functional theory data (PBE) for a geometry-optimized PmNb2Tl3O9 structure.

The uncorrected formation energy comes out at -1.91 eV/atom. Its size of the total moment is 0.0 μB/cell. Its density of states at the Fermi level is 0.404 states/eV/atom. Its crystal system is trigonal.

The structure belongs to space group P-3m1 (No. 164); the cell edges are 5.9874, 5.9874 and 7.7202 Å and the angles 90.00°, 90.00° and 120.00°. The inequivalent atoms are Pm at (0.0000, 0.0000, 0.0000), Nb at (0.3333, 0.6667, 0.6891), Tl at (0.0000, 0.0000, 0.5000), Tl at (0.3333, 0.6667, 0.2663), O at (0.0000, 0.5000, 0.5000) and O at (0.1739, 0.3478, 0.8079).